Record 1
A plane-wave DFT calculation with PBE+U was carried out for a relaxed La3FeWS3O6 crystal.

It has space group P6_3/m (No. 176), with a = 9.4658 Å, b = 9.4658 Å, c = 5.6030 Å, α = 90.00°, β = 90.00° and γ = 120.00°. The asymmetric unit holds La at (0.0882, 0.4057, 0.2500), Fe at (0.0000, 0.0000, 0.0000), W at (0.3333, 0.6667, 0.7500), S at (0.0439, 0.2188, 0.7500) and O at (0.1603, 0.6342, 0.5241).

As for the crystal system: hexagonal. Its calculated volume is 435 Å³ per cell. As for the total energy: -7.278 eV per atom.


Record 2
A plane-wave DFT calculation with PBE+U was carried out for a relaxed LaFeSbO6 crystal.

It has space group Pc (No. 7), with a = 5.581 Å, b = 5.635 Å, c = 9.675 Å, α = 90.00°, β = 125.15° and γ = 90.00°. The asymmetric unit holds La at (0.000, 0.208, 0.000), Fe at (0.754, 0.263, 0.248), Sb at (0.259, 0.264, 0.752), O at (0.013, 0.458, 0.212), O at (0.049, 0.234, 0.501), O at (0.433, 0.258, 0.999), O at (0.510, 0.013, 0.272), O at (0.585, 0.461, 0.789) and O at (0.971, 0.022, 0.729).

As for the crystal system: monoclinic. Its calculated volume is 249 Å³ per cell. As for the total energy: -6.725 eV per atom.